Material: Nd3Y6Tm2
Method: DFT, PBE
State: optimized geometry

## Properties
As for the formation enthalpy at 0 K: 22.3 kJ/mol of formula units. As for the total magnetization: 0.000 Bohr magnetons per cell. As for the space group: R-3m, No. 166. For the density, the calculation gives 6.05 g/cm3. For the calculated volume, the calculation gives 357.9 Å³/cell. Its density of states at the Fermi level is 1.380 states/eV/atom.

Lattice parameters (Å, degrees): 32.1136 32.1136 32.1136 6.41 6.41 6.41
With the nearest neighbours (Å) after each atom.
Positions (direct):
Nd (0.0000, 0.0000, 0.0000)  6 Nd 3.59, 6 Y 3.60
Nd (0.2720, 0.2720, 0.2720)  6 Nd 3.59, 6 Y 3.61-3.62
Nd (0.7280, 0.7280, 0.7280)  6 Nd 3.59, 6 Y 3.61-3.62
Y (0.0922, 0.0922, 0.0922)  3 Tm 3.52, 6 Y 3.59, 3 Nd 3.62
Y (0.1818, 0.1818, 0.1818)  3 Tm 3.53, 9 Y 3.57-3.59
Y (0.3640, 0.3640, 0.3640)  6 Y 3.59, 6 Nd 3.60-3.61
Y (0.6360, 0.6360, 0.6360)  6 Y 3.59, 6 Nd 3.60-3.61
Y (0.8182, 0.8182, 0.8182)  3 Tm 3.53, 9 Y 3.57-3.59
Y (0.9078, 0.9078, 0.9078)  3 Tm 3.52, 6 Y 3.59, 3 Nd 3.62
Tm (0.4552, 0.4552, 0.4552)  6 Y 3.52-3.53, 6 Tm 3.59
Tm (0.5448, 0.5448, 0.5448)  6 Y 3.52-3.53, 6 Tm 3.59